The following is a DFT calculation (PBE-GGA) of an optimized crystal structure of RbZrSi2.

Results
magnetization	0.0	μB per cell
uncorrected formation energy	0.420	eV/atom
raw total energy	-4.671	eV per atom
relative energy among the computed polymorphs	0.000	eV per atom
calculated density	2.7	g/cm³
DOS(E_F)	4.7	states/eV per cell

Cell: 9.679 9.679 9.679 Å, 145.69 145.69 49.31°
Sites, in units of the cell vectors:
Rb: 0.375 0.625 0.750
Rb: 0.625 0.375 0.250
Zr: 0.125 0.875 0.250
Zr: 0.875 0.125 0.750
Si: 0.000 0.000 0.000
Si: 0.000 0.000 0.500
Si: 0.000 0.500 0.000
Si: 0.500 0.000 0.500



The following is a DFT calculation (PBE-GGA) of an optimized crystal structure of RbZrSi2.

Results
magnetization	0.0	μB per cell
uncorrected formation energy	0.652	eV/atom
raw total energy	-4.438	eV per atom
relative energy among the computed polymorphs	0.233	eV per atom
calculated density	4.3	g/cm³
DOS(E_F)	4.9	states/eV per cell

Cell: 5.048 5.048 5.048 Å, 60.00 60.00 60.00°
Sites, in units of the cell vectors:
Rb: 0.000 0.000 0.000
Zr: 0.500 0.500 0.500
Si: 0.250 0.250 0.250
Si: 0.750 0.750 0.750